Crystalline SrNdNiPd at its relaxed geometry, computed with PBE.

The structure belongs to space group F-43m (No. 216); the cell edges are 7.2273, 7.2273 and 7.2273 Å and the angles 90.00°, 90.00° and 90.00°. The distinct sites, in fractional coordinates, are Sr at (0.0000, 0.0000, 0.0000), Nd at (0.0000, 0.0000, 0.5000), Ni at (0.2500, 0.2500, 0.7500) and Pd at (0.2500, 0.2500, 0.2500).

The calculation puts the density of states at the Fermi level at 0.49 states/eV/atom. Its total DFT energy (no corrections) is -4.670 eV/atom. The total moment is 0.00 μB per formula unit. The value obtained for the formation energy is -314 meV/atom.

***

Crystalline Ba3IrO4 at its relaxed geometry, computed with PBE.

The structure belongs to space group Pmn2_1 (No. 31); the cell edges are 9.0690, 6.2404 and 5.5738 Å and the angles 90.00°, 90.00° and 90.00°. The distinct sites, in fractional coordinates, are Ba at (0.0000, 0.1469, 0.0000), Ba at (0.2435, 0.3068, 0.4608), Ir at (0.0000, 0.7718, 0.4312), O at (0.0000, 0.0794, 0.5467), O at (0.0000, 0.5007, 0.2305) and O at (0.2262, 0.7562, 0.4447).

The calculation puts the density of states at the Fermi level at 0.30 states/eV/atom. Its total DFT energy (no corrections) is -6.162 eV/atom. The total moment is 1.02 μB per formula unit.